# 1
DFT (GGA-PBE) results for a geometry-optimized SrCdCu2F8 structure.

Properties
- Spin magnetization: 2.0 Bohr magnetons per cell
- Space group: I-4 (82)
- Raw total energy: -52.7 eV/cell
- Formation energy from raw total energies: -2.2420 eV per atom

```
SrCdCu2F8
1.0
-2.792 2.792 5.404
2.792 -2.792 5.404
2.792 2.792 -5.404
Sr Cd Cu F
1 1 2 8
Direct
0.000 0.000 0.000
0.250 0.750 0.500
0.500 0.500 0.000
0.750 0.250 0.500
0.265 0.429 0.575
0.310 0.735 0.163
0.409 0.037 0.053
0.571 0.147 0.837
0.645 0.591 0.628
0.853 0.690 0.425
0.963 0.016 0.372
0.984 0.355 0.947
```

# 2
DFT (GGA-PBE) results for a geometry-optimized BaCoSe2 structure.

Properties
- Density of states at the Fermi level: 7.52 states/eV per cell
- Spin magnetization: 3.0 Bohr magnetons per cell
- Space group: R-3m (166)
- Raw total energy: -18.4 eV/cell
- Formation energy from raw total energies: -0.5895 eV per atom

```
BaCoSe2
1.0
2.561 1.479 7.441
-2.561 1.479 7.441
0.000 -2.958 7.441
Ba Co Se
1 1 2
Direct
0.000 0.000 0.000
0.500 0.500 0.500
0.400 0.400 0.400
0.600 0.600 0.600
```

# 3
DFT (GGA-PBE) results for a geometry-optimized Sb2PbAu structure.

Properties
- Density of states at the Fermi level: 1.36 states/eV per cell
- Spin magnetization: 0.0 Bohr magnetons per cell
- Space group: Pmm2 (25)
- Raw total energy: -15.1 eV/cell
- Formation energy from raw total energies: 0.0353 eV per atom

```
Sb2PbAu
1.0
3.221 0.000 0.000
0.000 4.155 0.000
0.000 0.000 8.170
Sb Pb Au
2 1 1
Direct
0.000 0.000 0.000
0.000 0.500 0.266
0.500 0.000 0.552
0.000 0.500 0.756
```

# 4
DFT (GGA-PBE) results for a geometry-optimized Ti2AlAu8 structure.

Properties
- Density of states at the Fermi level: 5.25 states/eV per cell
- Spin magnetization: 0.0 Bohr magnetons per cell
- E_form: -0.28 eV per atom
- Space group: Immm (71)
- Raw total energy: -48.8 eV/cell
- Distance to the lowest polymorph of the same formula: 0.000 eV/atom

```
Ti2AlAu8
1.0
-2.315 3.301 6.367
2.315 -3.301 6.367
2.315 3.301 -6.367
Ti Al Au
2 1 8
Direct
0.199 0.199 0.000
0.801 0.801 0.000
0.500 0.500 0.000
0.079 0.362 0.717
0.212 0.000 0.212
0.331 0.831 0.500
0.354 0.638 0.717
0.646 0.362 0.283
0.669 0.169 0.500
0.788 0.000 0.788
0.921 0.638 0.283
```

# 5
DFT (GGA-PBE) results for a geometry-optimized GdNi3 structure.

Properties
- Density of states at the Fermi level: 5.50 states/eV per cell
- Spin magnetization: 6.5 Bohr magnetons per cell
- E_form: -0.19 eV per atom
- Space group: Pm-3m (221)
- Raw total energy: -32.2 eV/cell

```
GdNi3
1.0
3.877 0.000 0.000
0.000 3.877 0.000
0.000 0.000 3.877
Gd Ni
1 3
Direct
0.000 0.000 0.000
0.000 0.500 0.500
0.500 0.000 0.500
0.500 0.500 0.000
```

# 6
DFT (GGA-PBE) results for a geometry-optimized ScHF2 structure.

Properties
- Density of states at the Fermi level: 0.00 states/eV per cell
- Spin magnetization: 0.0 Bohr magnetons per cell
- Space group: I-42d (122)
- Raw total energy: -43.8 eV/cell
- Distance to the lowest polymorph of the same formula: 0.148 eV/atom

```
ScHF2
1.0
-1.809 1.809 6.862
1.809 -1.809 6.862
1.809 1.809 -6.862
Sc H F
2 2 4
Direct
0.000 0.000 0.000
0.750 0.250 0.500
0.250 0.750 0.500
0.500 0.500 0.000
0.081 0.625 0.956
0.375 0.331 0.456
0.669 0.125 0.044
0.875 0.919 0.544
```